# Tb2Hg3Pt

Tb2Hg3Pt after structural relaxation (PBE-GGA, Alexandria via LeMat-Bulk).

Structure (POSCAR):
```
Tb2Hg3Pt
1.0
3.472 0.000 0.000
0.000 4.846 0.000
0.000 0.000 8.440
Hg Pt Tb
3 1 2
Direct
0.500 0.000 0.165 Hg
0.500 0.000 0.829 Hg
0.500 0.500 0.659 Hg
0.500 0.500 0.330 Pt
0.000 0.000 0.472 Tb
0.000 0.500 0.045 Tb
```

The total magnetic moment comes out at 0.0 μB per formula unit. For the calculated density, the calculation gives 13.0 g/cm³. As for the uncorrected energy: -19.72 eV per formula unit. The value obtained for the density of states at the Fermi level is 2.96 states/eV per cell. The formation enthalpy at 0 K comes out at -586 meV/atom.